VCdGaF6: optimized geometry, GGA+U.

- symmetry = P-31c
- energy (eV/atom) = -4.828
- ρ (Mg/m³) = 4.262

Cell lengths 5.817, 5.817, 9.231 Å; angles 90.00, 90.00, 120.00 degrees
Positions (direct):
V 0.333 0.667 0.250
V 0.667 0.333 0.750
Cd 0.000 0.000 0.000
Cd 0.000 0.000 0.500
Ga 0.333 0.667 0.750
Ga 0.667 0.333 0.250
F 0.068 0.372 0.126
F 0.068 0.696 0.374
F 0.304 0.372 0.374
F 0.304 0.932 0.126
F 0.372 0.068 0.626
F 0.372 0.304 0.874
F 0.628 0.696 0.126
F 0.628 0.932 0.374
F 0.696 0.068 0.874
F 0.696 0.628 0.626
F 0.932 0.304 0.626
F 0.932 0.628 0.874